A relaxed NaZrSc crystal. Source: the Alexandria database, functional PBE.

Unit cell a=3.198 b=5.623 c=8.905 alpha=83.24 beta=79.84 gamma=89.98
Fractional coordinates of all 6 atoms:
Na 0.000 0.000 0.000
Na 0.496 0.499 0.008
Zr 0.684 0.891 0.639
Zr 0.817 0.271 0.367
Sc 0.180 0.393 0.647
Sc 0.321 0.770 0.359

D(E_F): 6.59 states/eV/cell
Formation enthalpy at 0 K: 0.197 eV per atom
Crystal system: triclinic
Uncorrected energy: -31.21 eV/cell
Distance to the lowest polymorph of the same formula: 0.113 eV per atom
Total magnetic moment: 0.000 μB per atom